No. 1
Computed, not measured: crystalline TaZnH at its relaxed geometry at the GGA-PBE level of DFT.

Cell: 3.439 3.852 5.428 Å, 90.00 108.43 90.00°
Positions (direct):
1 Ta 0.165 0.250 0.331
2 Ta 0.835 0.750 0.669
3 Zn 0.435 0.250 0.868
4 Zn 0.565 0.750 0.132
5 H 0.235 0.750 0.470
6 H 0.765 0.250 0.530

Computed properties:
relative energy among the computed polymorphs	0.03	eV per formula unit
space-group type	No. 11
total moment	0.00	μB/f.u.
total DFT energy (no corrections)	-5.53	eV per atom
DOS at the Fermi energy	0.4	states/eV/cell

---

No. 2
Computed, not measured: crystalline In5Hg12Cl3 at its relaxed geometry at the GGA-PBE level of DFT.

Cell: 15.407 15.407 15.407 Å, 109.47 109.47 109.47°
Positions (direct):
1 In 0.000 0.000 0.000
2 In 0.000 0.000 0.500
3 In 0.000 0.500 0.000
4 In 0.000 0.500 0.500
5 In 0.125 0.750 0.875
6 In 0.125 0.875 0.250
7 In 0.250 0.125 0.875
8 In 0.250 0.625 0.375
9 In 0.375 0.250 0.625
10 In 0.375 0.625 0.750
11 In 0.500 0.000 0.000
12 In 0.500 0.000 0.500
13 In 0.500 0.500 0.000
14 In 0.500 0.500 0.500
15 In 0.625 0.375 0.250
16 In 0.625 0.750 0.375
17 In 0.750 0.375 0.625
18 In 0.750 0.875 0.125
19 In 0.875 0.125 0.750
20 In 0.875 0.250 0.125
21 Hg 0.047 0.224 0.101
22 Hg 0.047 0.323 0.946
23 Hg 0.054 0.601 0.376
24 Hg 0.054 0.953 0.677
25 Hg 0.101 0.047 0.224
26 Hg 0.101 0.554 0.876
27 Hg 0.124 0.724 0.677
28 Hg 0.124 0.899 0.446
29 Hg 0.177 0.224 0.624
30 Hg 0.177 0.453 0.554
31 Hg 0.224 0.101 0.047
32 Hg 0.224 0.624 0.177
33 Hg 0.276 0.323 0.876
34 Hg 0.276 0.453 0.399
35 Hg 0.323 0.876 0.276
36 Hg 0.323 0.946 0.047
37 Hg 0.376 0.054 0.601
38 Hg 0.376 0.823 0.776
39 Hg 0.399 0.276 0.453
40 Hg 0.399 0.624 0.946
41 Hg 0.446 0.124 0.899
42 Hg 0.446 0.823 0.547
43 Hg 0.453 0.399 0.276
44 Hg 0.453 0.554 0.177
45 Hg 0.547 0.446 0.823
46 Hg 0.547 0.601 0.724
47 Hg 0.554 0.177 0.453
48 Hg 0.554 0.876 0.101
49 Hg 0.601 0.376 0.054
50 Hg 0.601 0.724 0.547
51 Hg 0.624 0.177 0.224
52 Hg 0.624 0.946 0.399
53 Hg 0.677 0.054 0.953
54 Hg 0.677 0.124 0.724
55 Hg 0.724 0.547 0.601
56 Hg 0.724 0.677 0.124
57 Hg 0.776 0.376 0.823
58 Hg 0.776 0.899 0.953
59 Hg 0.823 0.547 0.446
60 Hg 0.823 0.776 0.376
61 Hg 0.876 0.101 0.554
62 Hg 0.876 0.276 0.323
63 Hg 0.899 0.446 0.124
64 Hg 0.899 0.953 0.776
65 Hg 0.946 0.047 0.323
66 Hg 0.946 0.399 0.624
67 Hg 0.953 0.677 0.054
68 Hg 0.953 0.776 0.899
69 Cl 0.125 0.250 0.375
70 Cl 0.125 0.375 0.750
71 Cl 0.250 0.375 0.125
72 Cl 0.250 0.875 0.625
73 Cl 0.375 0.125 0.250
74 Cl 0.375 0.750 0.125
75 Cl 0.625 0.250 0.875
76 Cl 0.625 0.875 0.750
77 Cl 0.750 0.125 0.375
78 Cl 0.750 0.625 0.875
79 Cl 0.875 0.625 0.250
80 Cl 0.875 0.750 0.625

Computed properties:
space-group type	No. 230
total moment	0.00	μB/f.u.
total DFT energy (no corrections)	-1.21	eV per atom
raw formation energy	-63	meV per atom
DOS at the Fermi energy	44.9	states/eV/cell

---

No. 3
Computed, not measured: crystalline TaInRu2 at its relaxed geometry at the GGA-PBE level of DFT.

Cell: 3.204 3.204 6.406 Å, 90.00 90.00 90.00°
Positions (direct):
1 Ta 0.000 0.000 0.000
2 In 0.000 0.000 0.500
3 Ru 0.500 0.500 0.233
4 Ru 0.500 0.500 0.767

Computed properties:
space-group type	No. 123
total moment	0.00	μB/f.u.
E_form	-0.3307	eV/atom
total DFT energy (no corrections)	-8.62	eV per atom
DOS at the Fermi energy	1.3	states/eV/cell

---

No. 4
Computed, not measured: crystalline KTa2Co at its relaxed geometry at the GGA-PBE level of DFT.

Cell: 4.858 4.858 2.954 Å, 90.00 90.00 90.00°
Positions (direct):
1 K 0.000 0.000 0.000
2 Ta 0.000 0.500 0.500
3 Ta 0.500 0.000 0.500
4 Co 0.500 0.500 0.000

Computed properties:
relative energy among the computed polymorphs	4.53	eV per formula unit
space-group type	No. 123
total moment	0.00	μB/f.u.
E_form	1.6527	eV/atom
total DFT energy (no corrections)	-6.32	eV per atom
DOS at the Fermi energy	3.9	states/eV/cell

---

No. 5
Computed, not measured: crystalline SmZnAu2 at its relaxed geometry at the GGA-PBE level of DFT.

Cell: 3.476 3.476 6.823 Å, 90.00 90.00 90.00°
Positions (direct):
1 Sm 0.000 0.000 0.000
2 Zn 0.000 0.000 0.500
3 Au 0.500 0.500 0.282
4 Au 0.500 0.500 0.718

Computed properties:
space-group type	No. 123
total moment	0.00	μB/f.u.
E_form	-0.5163	eV/atom
total DFT energy (no corrections)	-3.65	eV per atom
DOS at the Fermi energy	2.3	states/eV/cell

---

No. 6
Computed, not measured: crystalline SmHo4In2 at its relaxed geometry at the GGA-PBE level of DFT.

Cell: 10.814 10.814 10.814 Å, 27.24 27.24 27.24°
Positions (direct):
1 Sm 0.000 0.000 0.000
2 Ho 0.203 0.203 0.203
3 Ho 0.393 0.393 0.393
4 Ho 0.607 0.607 0.607
5 Ho 0.797 0.797 0.797
6 In 0.101 0.101 0.101
7 In 0.899 0.899 0.899

Computed properties:
relative energy among the computed polymorphs	1.16	eV per formula unit
space-group type	No. 166
total moment	0.24	μB/f.u.
E_form	0.0583	eV/atom
total DFT energy (no corrections)	-4.01	eV per atom
DOS at the Fermi energy	9.0	states/eV/cell

---

No. 7
Computed, not measured: crystalline LiTl2TcCl6 at its relaxed geometry at the GGA-PBE level of DFT.

Cell: 12.530 12.530 12.530 Å, 32.75 32.75 32.75°
Positions (direct):
1 Li 0.083 0.083 0.083
2 Li 0.917 0.917 0.917
3 Tl 0.200 0.200 0.200
4 Tl 0.372 0.372 0.372
5 Tl 0.628 0.628 0.628
6 Tl 0.800 0.800 0.800
7 Tc 0.000 0.000 0.000
8 Tc 0.500 0.500 0.500
9 Cl 0.121 0.121 0.640
10 Cl 0.121 0.640 0.121
11 Cl 0.217 0.700 0.700
12 Cl 0.300 0.300 0.783
13 Cl 0.300 0.783 0.300
14 Cl 0.360 0.879 0.879
15 Cl 0.640 0.121 0.121
16 Cl 0.700 0.217 0.700
17 Cl 0.700 0.700 0.217
18 Cl 0.783 0.300 0.300
19 Cl 0.879 0.360 0.879
20 Cl 0.879 0.879 0.360

Computed properties:
space-group type	No. 166
total moment	2.00	μB/f.u.
total DFT energy (no corrections)	-3.81	eV per atom
raw formation energy	-1005	meV per atom
DOS at the Fermi energy	10.8	states/eV/cell

---

No. 8
Computed, not measured: crystalline Cs2LiO at its relaxed geometry at the GGA-PBE level of DFT.

Cell: 7.899 7.899 7.899 Å, 90.00 90.00 90.00°
Positions (direct):
1 Cs 0.250 0.250 0.250
2 Cs 0.250 0.250 0.750
3 Cs 0.250 0.750 0.250
4 Cs 0.250 0.750 0.750
5 Cs 0.750 0.250 0.250
6 Cs 0.750 0.250 0.750
7 Cs 0.750 0.750 0.250
8 Cs 0.750 0.750 0.750
9 Li 0.000 0.000 0.000
10 Li 0.000 0.500 0.500
11 Li 0.500 0.000 0.500
12 Li 0.500 0.500 0.000
13 O 0.000 0.000 0.500
14 O 0.000 0.500 0.000
15 O 0.500 0.000 0.000
16 O 0.500 0.500 0.500

Computed properties:
relative energy among the computed polymorphs	2.99	eV per formula unit
space-group type	No. 225
total moment	0.95	μB/f.u.
total DFT energy (no corrections)	-2.24	eV per atom
raw formation energy	-96	meV per atom
DOS at the Fermi energy	6.5	states/eV/cell

---

> Among the records above, which one has the highest total DFT energy (no corrections)?

In5Hg12Cl3

---

Repeat the third record exactly.
Computed, not measured: crystalline TaInRu2 at its relaxed geometry at the GGA-PBE level of DFT.

Cell: 3.204 3.204 6.406 Å, 90.00 90.00 90.00°
Positions (direct):
1 Ta 0.000 0.000 0.000
2 In 0.000 0.000 0.500
3 Ru 0.500 0.500 0.233
4 Ru 0.500 0.500 0.767

Computed properties:
space-group type	No. 123
total moment	0.00	μB/f.u.
E_form	-0.3307	eV/atom
total DFT energy (no corrections)	-8.62	eV per atom
DOS at the Fermi energy	1.3	states/eV/cell

---

> Which value of DOS at the Fermi energy does entry 2 give?

44.9 states/eV/cell

---

Please write out number 5 again, unchanged.
Computed, not measured: crystalline SmZnAu2 at its relaxed geometry at the GGA-PBE level of DFT.

Cell: 3.476 3.476 6.823 Å, 90.00 90.00 90.00°
Positions (direct):
1 Sm 0.000 0.000 0.000
2 Zn 0.000 0.000 0.500
3 Au 0.500 0.500 0.282
4 Au 0.500 0.500 0.718

Computed properties:
space-group type	No. 123
total moment	0.00	μB/f.u.
E_form	-0.5163	eV/atom
total DFT energy (no corrections)	-3.65	eV per atom
DOS at the Fermi energy	2.3	states/eV/cell